Record 1
A plane-wave DFT calculation with PBE was carried out for MnCdAu2 after structural relaxation.

Values from the calculation:
Its space group is F-43m. The density of states at the Fermi level is 0.629 states/eV/atom. For the formation energy, the calculation gives -0.001 eV per atom.

Lattice parameters (Å, degrees): 6.5989 6.5989 6.5989 90.00 90.00 90.00
Fractional positions:
Mn1 0.0000 0.0000 0.0000
Mn2 0.0000 0.5000 0.5000
Mn3 0.5000 0.0000 0.5000
Mn4 0.5000 0.5000 0.0000
Cd1 0.2500 0.2500 0.7500
Cd2 0.2500 0.7500 0.2500
Cd3 0.7500 0.2500 0.2500
Cd4 0.7500 0.7500 0.7500
Au1 0.0000 0.0000 0.5000
Au2 0.0000 0.5000 0.0000
Au3 0.2500 0.2500 0.2500
Au4 0.2500 0.7500 0.7500
Au5 0.5000 0.0000 0.0000
Au6 0.5000 0.5000 0.5000
Au7 0.7500 0.2500 0.7500
Au8 0.7500 0.7500 0.2500


Record 2
A plane-wave DFT calculation with PBE was carried out for MnCd2Au after structural relaxation.

Values from the calculation:
Its space group is Pmm2. For the offset from the most stable computed form, the calculation gives 0.000 eV/atom. The density of states at the Fermi level is 0.338 states/eV/atom. For the formation energy, the calculation gives 0.014 eV per atom.

Lattice parameters (Å, degrees): 3.3179 3.3564 6.8582 90.00 90.00 90.00
Fractional positions:
Mn1 0.0000 0.0000 0.0000
Cd1 0.0000 0.0000 0.4614
Cd2 0.5000 0.5000 0.7500
Au1 0.5000 0.5000 0.2002


Record 3
A plane-wave DFT calculation with PBE was carried out for MnCd2Au after structural relaxation.

Values from the calculation:
Its space group is P4/mmm. For the offset from the most stable computed form, the calculation gives 0.028 eV/atom. The density of states at the Fermi level is 0.541 states/eV/atom. For the formation energy, the calculation gives 0.042 eV per atom.

Lattice parameters (Å, degrees): 4.1912 4.1912 4.2756 90.00 90.00 90.00
Fractional positions:
Mn1 0.0000 0.0000 0.0000
Cd1 0.0000 0.5000 0.5000
Cd2 0.5000 0.0000 0.5000
Au1 0.5000 0.5000 0.0000


Record 4
A plane-wave DFT calculation with PBE was carried out for MnCdAu4 after structural relaxation.

Values from the calculation:
Its space group is P4/mmm. For the offset from the most stable computed form, the calculation gives 0.000 eV/atom. The density of states at the Fermi level is 0.389 states/eV/atom. For the formation energy, the calculation gives -0.099 eV per atom.

Lattice parameters (Å, degrees): 3.4324 3.4324 9.1875 90.00 90.00 90.00
Fractional positions:
Mn1 0.0000 0.0000 0.0000
Cd1 0.5000 0.5000 0.5000
Au1 0.0000 0.0000 0.3252
Au2 0.0000 0.0000 0.6748
Au3 0.5000 0.5000 0.1532
Au4 0.5000 0.5000 0.8468


Record 5
A plane-wave DFT calculation with PBE was carried out for MnCd2Au after structural relaxation.

Values from the calculation:
Its space group is P2/m. For the offset from the most stable computed form, the calculation gives 0.095 eV/atom. The density of states at the Fermi level is 0.349 states/eV/atom. For the formation energy, the calculation gives 0.109 eV per atom.

Lattice parameters (Å, degrees): 3.0198 4.9218 5.1324 90.00 92.43 90.00
Fractional positions:
Mn1 0.0000 0.0000 0.0000
Cd1 0.2712 0.5000 0.7528
Cd2 0.7288 0.5000 0.2472
Au1 0.5000 0.0000 0.5000


Record 6
A plane-wave DFT calculation with PBE was carried out for MnCdAu4 after structural relaxation.

Values from the calculation:
Its space group is P2_1/c. For the offset from the most stable computed form, the calculation gives 0.074 eV/atom. The density of states at the Fermi level is 0.452 states/eV/atom. For the formation energy, the calculation gives -0.025 eV per atom.

Lattice parameters (Å, degrees): 5.7814 7.9678 4.9923 90.00 106.28 90.00
Fractional positions:
Mn1 0.0000 0.0000 0.0000
Mn2 0.0000 0.5000 0.5000
Cd1 0.5000 0.0000 0.0000
Cd2 0.5000 0.5000 0.5000
Au1 0.1479 0.1640 0.5334
Au2 0.1479 0.3360 0.0334
Au3 0.3359 0.6595 0.9293
Au4 0.3359 0.8405 0.4293
Au5 0.6641 0.1595 0.5707
Au6 0.6641 0.3405 0.0707
Au7 0.8521 0.6640 0.9666
Au8 0.8521 0.8360 0.4666


Record 7
A plane-wave DFT calculation with PBE was carried out for MnCd2Au after structural relaxation.

Values from the calculation:
Its space group is I-4m2. For the offset from the most stable computed form, the calculation gives 0.014 eV/atom. The density of states at the Fermi level is 0.385 states/eV/atom. For the formation energy, the calculation gives 0.029 eV per atom.

Lattice parameters (Å, degrees): 4.4451 4.4451 7.5374 90.00 90.00 90.00
Fractional positions:
Mn1 0.0000 0.0000 0.0000
Mn2 0.5000 0.5000 0.5000
Cd1 0.0000 0.0000 0.5000
Cd2 0.0000 0.5000 0.7500
Cd3 0.5000 0.0000 0.2500
Cd4 0.5000 0.5000 0.0000
Au1 0.0000 0.5000 0.2500
Au2 0.5000 0.0000 0.7500


Record 8
A plane-wave DFT calculation with PBE was carried out for MnCd2Au5 after structural relaxation.

Values from the calculation:
Its space group is I4/mmm. The density of states at the Fermi level is 0.372 states/eV/atom. For the formation energy, the calculation gives -0.093 eV per atom.

Lattice parameters (Å, degrees): 4.4554 4.4554 14.8299 90.00 90.00 90.00
Fractional positions:
Mn1 0.0000 0.0000 0.0000
Mn2 0.5000 0.5000 0.5000
Cd1 0.0000 0.0000 0.2511
Cd2 0.0000 0.0000 0.7489
Cd3 0.5000 0.5000 0.2489
Cd4 0.5000 0.5000 0.7511
Au1 0.0000 0.0000 0.5000
Au2 0.0000 0.5000 0.1197
Au3 0.0000 0.5000 0.3803
Au4 0.0000 0.5000 0.6197
Au5 0.0000 0.5000 0.8803
Au6 0.5000 0.0000 0.1197
Au7 0.5000 0.0000 0.3803
Au8 0.5000 0.0000 0.6197
Au9 0.5000 0.0000 0.8803
Au10 0.5000 0.5000 0.0000


Record 9
A plane-wave DFT calculation with PBE was carried out for MnCd2Au after structural relaxation.

Values from the calculation:
Its space group is Fm-3m. For the offset from the most stable computed form, the calculation gives 0.049 eV/atom. The density of states at the Fermi level is 0.436 states/eV/atom. For the formation energy, the calculation gives 0.063 eV per atom.

Lattice parameters (Å, degrees): 6.6826 6.6826 6.6826 90.00 90.00 90.00
Fractional positions:
Mn1 0.0000 0.0000 0.0000
Mn2 0.0000 0.5000 0.5000
Mn3 0.5000 0.0000 0.5000
Mn4 0.5000 0.5000 0.0000
Cd1 0.2500 0.2500 0.2500
Cd2 0.2500 0.2500 0.7500
Cd3 0.2500 0.7500 0.2500
Cd4 0.2500 0.7500 0.7500
Cd5 0.7500 0.2500 0.2500
Cd6 0.7500 0.2500 0.7500
Cd7 0.7500 0.7500 0.2500
Cd8 0.7500 0.7500 0.7500
Au1 0.0000 0.0000 0.5000
Au2 0.0000 0.5000 0.0000
Au3 0.5000 0.0000 0.0000
Au4 0.5000 0.5000 0.5000


Record 10
A plane-wave DFT calculation with PBE was carried out for MnCdAu2 after structural relaxation.

Values from the calculation:
Its space group is P4mm. The density of states at the Fermi level is 0.498 states/eV/atom. For the formation energy, the calculation gives -0.025 eV per atom.

Lattice parameters (Å, degrees): 3.4785 3.4785 6.0053 90.00 90.00 90.00
Fractional positions:
Mn1 0.0000 0.0000 0.0000
Cd1 0.5000 0.5000 0.7205
Au1 0.0000 0.0000 0.4751
Au2 0.5000 0.5000 0.2017


Record 11
A plane-wave DFT calculation with PBE was carried out for MnCdAu2 after structural relaxation.

Values from the calculation:
Its space group is I-42d. The density of states at the Fermi level is 0.649 states/eV/atom. For the formation energy, the calculation gives 0.211 eV per atom.

Lattice parameters (Å, degrees): 4.0135 4.0135 19.4740 90.00 90.00 90.00
Fractional positions:
Mn1 0.0000 0.0000 0.0000
Mn2 0.0000 0.5000 0.2500
Mn3 0.5000 0.0000 0.7500
Mn4 0.5000 0.5000 0.5000
Cd1 0.0000 0.0000 0.5000
Cd2 0.0000 0.5000 0.7500
Cd3 0.5000 0.0000 0.2500
Cd4 0.5000 0.5000 0.0000
Au1 0.2452 0.2500 0.1250
Au2 0.2500 0.7452 0.3750
Au3 0.2500 0.7548 0.8750
Au4 0.2548 0.2500 0.6250
Au5 0.7452 0.7500 0.6250
Au6 0.7500 0.2452 0.8750
Au7 0.7500 0.2548 0.3750
Au8 0.7548 0.7500 0.1250


Record 12
A plane-wave DFT calculation with PBE was carried out for MnCd2Au after structural relaxation.

Values from the calculation:
Its space group is Cm. For the offset from the most stable computed form, the calculation gives 0.045 eV/atom. The density of states at the Fermi level is 0.454 states/eV/atom. For the formation energy, the calculation gives 0.059 eV per atom.

Lattice parameters (Å, degrees): 9.7507 3.1311 5.1107 90.00 103.55 90.00
Fractional positions:
Mn1 0.0000 0.0000 0.0000
Mn2 0.5000 0.5000 0.0000
Cd1 0.0125 0.5000 0.5160
Cd2 0.2493 0.5000 0.2518
Cd3 0.5125 0.0000 0.5160
Cd4 0.7493 0.0000 0.2518
Au1 0.2680 0.0000 0.7781
Au2 0.7680 0.5000 0.7781


Question: Number 6 is which compound?
Answer: MnCdAu4